1.
MnV3Cr2P6O24 | Alexandria via LeMat-Bulk | PBE+U | optimized geometry; symmetry = R3 (146); total magnetization = 12.00 μB/cell; E = -7.460 eV per atom; volume = 12.25 A^3/atom
1.0
4.312 2.489 6.849
-4.312 2.489 6.849
0.000 -4.979 6.849
Mn V Cr P O
1 3 2 6 24
direct
0.000 0.000 0.000 Mn
0.287 0.287 0.287 V
0.500 0.500 0.500 V
0.788 0.788 0.788 V
0.142 0.142 0.142 Cr
0.643 0.643 0.643 Cr
0.097 0.690 0.393 P
0.190 0.599 0.895 P
0.393 0.097 0.690 P
0.599 0.895 0.190 P
0.690 0.393 0.097 P
0.895 0.190 0.599 P
0.033 0.640 0.824 O
0.052 0.203 0.394 O
0.081 0.891 0.239 O
0.136 0.532 0.326 O
0.151 0.748 0.968 O
0.203 0.394 0.052 O
0.239 0.081 0.891 O
0.250 0.644 0.468 O
0.326 0.136 0.532 O
0.393 0.577 0.739 O
0.394 0.052 0.203 O
0.468 0.250 0.644 O
0.532 0.326 0.136 O
0.552 0.894 0.705 O
0.577 0.739 0.393 O
0.640 0.824 0.033 O
0.644 0.468 0.250 O
0.705 0.552 0.894 O
0.739 0.393 0.577 O
0.748 0.968 0.151 O
0.824 0.033 0.640 O
0.891 0.239 0.081 O
0.894 0.705 0.552 O
0.968 0.151 0.748 O

---

2.
PaMn2CrO6 | Alexandria via LeMat-Bulk | PBE+U | optimized geometry; symmetry = P4mm (99); total magnetization = 13.00 μB/cell; E = -8.203 eV per atom; volume = 14.49 A^3/atom
1.0
5.792 0.000 0.000
0.000 5.792 0.000
0.000 0.000 4.318
Pa Mn Cr O
1 2 1 6
direct
0.000 0.000 0.000 Pa
0.000 0.500 0.320 Mn
0.500 0.000 0.320 Mn
0.500 0.500 0.037 Cr
0.000 0.000 0.517 O
0.258 0.258 0.093 O
0.258 0.742 0.093 O
0.500 0.500 0.574 O
0.742 0.258 0.093 O
0.742 0.742 0.093 O

---

3.
PaMnCr2O6 | Alexandria via LeMat-Bulk | PBE+U | optimized geometry; symmetry = P1 (1); total magnetization = 6.00 μB/cell; E = -8.511 eV per atom; volume = 12.47 A^3/atom
1.0
5.315 0.000 0.000
-2.652 4.844 0.000
-0.007 -2.947 4.845
Pa Mn Cr O
1 1 2 6
direct
0.000 0.000 0.000 Pa
0.499 0.010 0.502 Mn
0.286 0.569 0.869 Cr
0.794 0.587 0.387 Cr
0.072 0.744 0.169 O
0.176 0.764 0.675 O
0.420 0.473 0.155 O
0.590 0.497 0.669 O
0.715 0.142 0.201 O
0.884 0.043 0.656 O

---

4.
PaMn2CrO8 | Alexandria via LeMat-Bulk | PBE+U | optimized geometry; symmetry = I-4m2 (119); total magnetization = 9.00 μB/cell; E = -7.772 eV per atom; volume = 12.59 A^3/atom
1.0
-3.371 3.371 3.326
3.371 -3.371 3.326
3.371 3.371 -3.326
Pa Mn Cr O
1 2 1 8
direct
0.000 0.000 0.000 Pa
0.500 0.500 0.000 Mn
0.750 0.250 0.500 Mn
0.250 0.750 0.500 Cr
0.301 0.112 0.811 O
0.301 0.490 0.189 O
0.374 0.054 0.320 O
0.510 0.699 0.811 O
0.735 0.054 0.680 O
0.888 0.699 0.189 O
0.946 0.265 0.320 O
0.946 0.626 0.680 O

---

5.
PaMnCr2O8 | Alexandria via LeMat-Bulk | PBE+U | optimized geometry; symmetry = I-4m2 (119); total magnetization = 8.00 μB/cell; E = -8.001 eV per atom; volume = 13.20 A^3/atom
1.0
-3.502 3.502 3.229
3.502 -3.502 3.229
3.502 3.502 -3.229
Pa Mn Cr O
1 1 2 8
direct
0.000 0.000 0.000 Pa
0.250 0.750 0.500 Mn
0.500 0.500 0.000 Cr
0.750 0.250 0.500 Cr
0.325 0.138 0.812 O
0.325 0.513 0.188 O
0.377 0.074 0.303 O
0.487 0.675 0.812 O
0.772 0.074 0.697 O
0.862 0.675 0.188 O
0.926 0.228 0.303 O
0.926 0.623 0.697 O

---

6.
PaMn4CrO8 | Alexandria via LeMat-Bulk | PBE+U | optimized geometry; symmetry = R3m (160); total magnetization = 23.00 μB/cell; E = -8.243 eV per atom; volume = 12.97 A^3/atom
1.0
3.145 1.816 5.298
-3.145 1.816 5.298
0.000 -3.632 5.298
Pa Mn Cr O
1 4 1 8
direct
0.000 0.000 0.000 Pa
0.150 0.630 0.630 Mn
0.267 0.267 0.267 Mn
0.630 0.150 0.630 Mn
0.630 0.630 0.150 Mn
0.635 0.635 0.635 Cr
0.397 0.397 0.397 O
0.408 0.872 0.872 O
0.411 0.411 0.861 O
0.411 0.861 0.411 O
0.861 0.411 0.411 O
0.870 0.870 0.870 O
0.872 0.408 0.872 O
0.872 0.872 0.408 O

---

7.
PaMnCrO5 | Alexandria via LeMat-Bulk | PBE+U | optimized geometry; symmetry = C2/c (15); total magnetization = 16.00 μB/cell; E = -8.489 eV per atom; volume = 14.15 A^3/atom
1.0
3.351 -4.697 0.000
3.351 4.697 0.000
-3.190 0.000 7.193
Pa Mn Cr O
2 2 2 10
direct
0.000 0.500 0.000 Pa
0.500 0.000 0.500 Pa
0.068 0.932 0.750 Mn
0.932 0.068 0.250 Mn
0.398 0.602 0.750 Cr
0.602 0.398 0.250 Cr
0.151 0.313 0.807 O
0.210 0.749 0.576 O
0.251 0.790 0.924 O
0.313 0.151 0.307 O
0.384 0.616 0.250 O
0.616 0.384 0.750 O
0.687 0.849 0.693 O
0.749 0.210 0.076 O
0.790 0.251 0.424 O
0.849 0.687 0.193 O

---

8.
MnCrPbO6 | Alexandria via LeMat-Bulk | PBE+U | optimized geometry; symmetry = P4_2nm (102); total magnetization = 10.00 μB/cell; E = -6.552 eV per atom; volume = 11.39 A^3/atom
1.0
4.672 0.000 0.000
0.000 4.672 0.000
0.000 0.000 9.393
Mn Cr Pb O
2 2 2 12
direct
0.000 0.000 0.000 Mn
0.500 0.500 0.500 Mn
0.000 0.000 0.333 Cr
0.500 0.500 0.833 Cr
0.000 0.000 0.664 Pb
0.500 0.500 0.164 Pb
0.175 0.175 0.164 O
0.206 0.206 0.485 O
0.207 0.207 0.846 O
0.293 0.707 0.346 O
0.294 0.706 0.985 O
0.325 0.675 0.664 O
0.675 0.325 0.664 O
0.706 0.294 0.985 O
0.707 0.293 0.346 O
0.793 0.793 0.846 O
0.794 0.794 0.485 O
0.825 0.825 0.164 O

---

9.
Mn3Cr4PbO12 | Alexandria via LeMat-Bulk | PBE+U | optimized geometry; symmetry = Im-3 (204); total magnetization = 23.00 μB/cell; E = -7.472 eV per atom; volume = 10.63 A^3/atom
1.0
-3.760 3.760 3.760
3.760 -3.760 3.760
3.760 3.760 -3.760
Mn Cr Pb O
3 4 1 12
direct
0.000 0.500 0.500 Mn
0.500 0.000 0.500 Mn
0.500 0.500 0.000 Mn
0.000 0.000 0.500 Cr
0.000 0.500 0.000 Cr
0.500 0.000 0.000 Cr
0.500 0.500 0.500 Cr
0.000 0.000 0.000 Pb
0.133 0.312 0.821 O
0.179 0.491 0.312 O
0.179 0.867 0.688 O
0.312 0.179 0.491 O
0.312 0.821 0.133 O
0.491 0.312 0.179 O
0.509 0.688 0.821 O
0.688 0.179 0.867 O
0.688 0.821 0.509 O
0.821 0.133 0.312 O
0.821 0.509 0.688 O
0.867 0.688 0.179 O

---

10.
Mn2CrPb2O9 | Alexandria via LeMat-Bulk | PBE+U | optimized geometry; symmetry = P-1 (2); total magnetization = 12.00 μB/cell; E = -6.632 eV per atom; volume = 13.85 A^3/atom
1.0
5.111 0.000 0.000
-2.548 7.316 0.000
-1.538 -0.797 10.375
Mn Cr Pb O
4 2 4 18
direct
0.098 0.196 0.498 Mn
0.303 0.604 0.507 Mn
0.697 0.396 0.493 Mn
0.902 0.804 0.502 Mn
0.317 0.236 0.951 Cr
0.683 0.764 0.049 Cr
0.008 0.397 0.176 Pb
0.410 0.965 0.265 Pb
0.590 0.035 0.735 Pb
0.992 0.603 0.824 Pb
0.052 0.406 0.596 O
0.060 0.330 0.937 O
0.080 0.987 0.396 O
0.195 0.018 0.894 O
0.237 0.784 0.611 O
0.331 0.392 0.403 O
0.446 0.654 0.135 O
0.460 0.259 0.108 O
0.465 0.228 0.589 O
0.535 0.772 0.411 O
0.540 0.741 0.892 O
0.554 0.346 0.865 O
0.669 0.608 0.597 O
0.763 0.216 0.389 O
0.805 0.982 0.106 O
0.920 0.013 0.604 O
0.940 0.670 0.063 O
0.948 0.594 0.404 O

---

11.
PmMn2CrO6 | Alexandria via LeMat-Bulk | PBE+U | optimized geometry; symmetry = P4mm (99); total magnetization = 11.00 μB/cell; E = -7.454 eV per atom; volume = 15.22 A^3/atom
1.0
5.529 0.000 0.000
0.000 5.529 0.000
0.000 0.000 4.977
Pm Mn Cr O
1 2 1 6
direct
0.000 0.000 0.000 Pm
0.000 0.500 0.367 Mn
0.500 0.000 0.367 Mn
0.500 0.500 0.050 Cr
0.000 0.000 0.565 O
0.275 0.275 0.178 O
0.275 0.725 0.178 O
0.500 0.500 0.723 O
0.725 0.275 0.178 O
0.725 0.725 0.178 O

---

12.
PmMnCr2O8 | Alexandria via LeMat-Bulk | PBE+U | optimized geometry; symmetry = I-4m2 (119); total magnetization = 6.00 μB/cell; E = -7.382 eV per atom; volume = 13.65 A^3/atom
1.0
-3.591 3.591 3.176
3.591 -3.591 3.176
3.591 3.591 -3.176
Pm Mn Cr O
1 1 2 8
direct
0.000 0.000 0.000 Pm
0.750 0.250 0.500 Mn
0.250 0.750 0.500 Cr
0.500 0.500 0.000 Cr
0.089 0.407 0.318 O
0.089 0.771 0.682 O
0.140 0.329 0.811 O
0.229 0.911 0.318 O
0.518 0.329 0.189 O
0.593 0.911 0.682 O
0.671 0.482 0.811 O
0.671 0.860 0.189 O

---

13.
PmMn2CrO8 | Alexandria via LeMat-Bulk | PBE+U | optimized geometry; symmetry = P-1 (2); total magnetization = 7.00 μB/cell; E = -7.170 eV per atom; volume = 11.46 A^3/atom
1.0
4.580 0.000 0.000
-0.232 4.717 0.000
-0.016 -0.053 6.368
Pm Mn Cr O
1 2 1 8
direct
0.000 0.000 0.000 Pm
0.499 0.500 0.262 Mn
0.501 0.500 0.738 Mn
0.000 0.000 0.500 Cr
0.235 0.174 0.709 O
0.245 0.172 0.287 O
0.273 0.667 0.500 O
0.296 0.621 0.000 O
0.704 0.379 0.000 O
0.727 0.333 0.500 O
0.755 0.828 0.713 O
0.765 0.826 0.291 O

---

14.
PmMn3Cr4O12 | Alexandria via LeMat-Bulk | PBE+U | optimized geometry; symmetry = Im-3 (204); total magnetization = 24.00 μB/cell; E = -7.867 eV per atom; volume = 10.57 A^3/atom
1.0
-3.753 3.753 3.753
3.753 -3.753 3.753
3.753 3.753 -3.753
Pm Mn Cr O
1 3 4 12
direct
0.000 0.000 0.000 Pm
0.000 0.500 0.500 Mn
0.500 0.000 0.500 Mn
0.500 0.500 0.000 Mn
0.000 0.000 0.500 Cr
0.000 0.500 0.000 Cr
0.500 0.000 0.000 Cr
0.500 0.500 0.500 Cr
0.132 0.306 0.826 O
0.174 0.481 0.306 O
0.174 0.868 0.694 O
0.306 0.174 0.481 O
0.306 0.826 0.132 O
0.481 0.306 0.174 O
0.519 0.694 0.826 O
0.694 0.174 0.868 O
0.694 0.826 0.519 O
0.826 0.132 0.306 O
0.826 0.519 0.694 O
0.868 0.694 0.174 O

---

15.
PmMnCrO6 | Alexandria via LeMat-Bulk | PBE+U | optimized geometry; symmetry = P4_2nm (102); total magnetization = 7.99 μB/cell; E = -7.210 eV per atom; volume = 12.08 A^3/atom
1.0
4.800 0.000 0.000
0.000 4.800 0.000
0.000 0.000 9.434
Pm Mn Cr O
2 2 2 12
direct
0.000 0.000 0.000 Pm
0.500 0.500 0.500 Pm
0.000 0.000 0.339 Mn
0.500 0.500 0.839 Mn
0.000 0.000 0.663 Cr
0.500 0.500 0.163 Cr
0.169 0.169 0.502 O
0.220 0.220 0.815 O
0.224 0.224 0.194 O
0.276 0.724 0.694 O
0.280 0.720 0.315 O
0.331 0.669 0.002 O
0.669 0.331 0.002 O
0.720 0.280 0.315 O
0.724 0.276 0.694 O
0.776 0.776 0.194 O
0.780 0.780 0.815 O
0.831 0.831 0.502 O

---

16.
MnCr2PtO8 | Alexandria via LeMat-Bulk | PBE+U | optimized geometry; symmetry = Cmmm (65); total magnetization = 7.00 μB/cell; E = -6.935 eV per atom; volume = 10.42 A^3/atom
1.0
3.185 -3.231 0.000
3.185 3.231 0.000
0.000 0.000 6.074
Mn Cr Pt O
1 2 1 8
direct
0.000 0.000 0.000 Mn
0.500 0.500 0.245 Cr
0.500 0.500 0.755 Cr
0.000 0.000 0.500 Pt
0.193 0.807 0.242 O
0.193 0.807 0.758 O
0.303 0.303 0.000 O
0.308 0.308 0.500 O
0.692 0.692 0.500 O
0.697 0.697 0.000 O
0.807 0.193 0.242 O
0.807 0.193 0.758 O

---

17.
MnCrPtO2 | Alexandria via LeMat-Bulk | PBE+U | optimized geometry; symmetry = P4/mmm (123); total magnetization = 7.00 μB/cell; E = -6.689 eV per atom; volume = 14.69 A^3/atom
1.0
3.737 0.000 0.000
0.000 3.737 0.000
0.000 0.000 5.259
Mn Cr Pt O
1 1 1 2
direct
0.000 0.000 0.000 Mn
0.500 0.500 0.500 Cr
0.500 0.500 0.000 Pt
0.000 0.500 0.500 O
0.500 0.000 0.500 O

---

18.
MnCrPtO6 | Alexandria via LeMat-Bulk | PBE+U | optimized geometry; symmetry = P-31c (163); total magnetization = 9.96 μB/cell; E = -6.684 eV per atom; volume = 10.75 A^3/atom
1.0
5.062 0.000 0.000
-2.531 4.384 0.000
0.000 0.000 8.722
Mn Cr Pt O
2 2 2 12
direct
0.000 0.000 0.000 Mn
0.000 0.000 0.500 Mn
0.333 0.667 0.250 Cr
0.667 0.333 0.750 Cr
0.333 0.667 0.750 Pt
0.667 0.333 0.250 Pt
0.005 0.349 0.125 O
0.005 0.656 0.375 O
0.344 0.349 0.375 O
0.344 0.995 0.125 O
0.349 0.005 0.625 O
0.349 0.344 0.875 O
0.651 0.656 0.125 O
0.651 0.995 0.375 O
0.656 0.005 0.875 O
0.656 0.651 0.625 O
0.995 0.344 0.625 O
0.995 0.651 0.875 O